Record 1
Here is MgZr2Zn after structural relaxation from Alexandria. Energies are from GGA-PBE.

Lattice parameters (Å, degrees): 5.427 5.427 5.427 134.23 134.23 66.72
Atoms (fractional coordinates):
Mg  0.500  0.500  0.000
Zr  0.000  0.000  0.000
Zr  0.250  0.750  0.500
Zn  0.750  0.250  0.500

Summary:
density of states at the Fermi level = 1.101 states/eV/atom
formation energy from the elements = 0.002 eV/atom
E_tot = -0.367 Ry per atom
relative energy among the computed polymorphs = 115 meV/atom

---

Record 2
Here is SmZnAgF6 after structural relaxation from Alexandria. Energies are from GGA-PBE.

Lattice parameters (Å, degrees): 5.266 5.266 10.438 90.00 90.00 90.00
Atoms (fractional coordinates):
F  0.324  0.324  0.990
F  0.199  0.801  0.193
F  0.699  0.699  0.693
F  0.275  0.275  0.316
F  0.176  0.824  0.490
F  0.676  0.676  0.990
F  0.801  0.199  0.193
F  0.225  0.775  0.816
F  0.725  0.725  0.316
Ag  0.000  0.000  0.999
F  0.301  0.301  0.693
Ag  0.500  0.500  0.499
F  0.824  0.176  0.490
Zn  0.500  0.500  0.832
F  0.775  0.225  0.816
Sm  0.000  0.000  0.671
Sm  0.500  0.500  0.171
Zn  0.000  0.000  0.332

Summary:
density of states at the Fermi level = 0.000 states/eV/atom
E_form (uncorrected) = -2.7619 eV per atom
E_tot = -0.367 Ry per atom

---

Record 3
Here is Na2GeSe after structural relaxation from Alexandria. Energies are from GGA-PBE.

Lattice parameters (Å, degrees): 8.217 8.217 6.494 50.75 50.75 90.00
Atoms (fractional coordinates):
Na  0.375  0.344  0.750
Ge  0.250  0.750  0.500
Na  0.875  0.906  0.750
Na  0.094  0.625  0.250
Na  0.656  0.125  0.250
Ge  0.500  0.500  0.000
Se  0.000  0.000  0.000
Se  0.750  0.250  0.500

Summary:
density of states at the Fermi level = 0.556 states/eV/atom
E_form (uncorrected) = -0.2075 eV per atom
E_tot = -0.213 Ry per atom
relative energy among the computed polymorphs = 0 meV/atom